1.
Material: K2Pt
Method: DFT, meta-GGA SCAN
State: PBEsol geometry

Lattice parameters (Å, degrees): 4.988 4.988 4.046 90.00 90.00 120.00
Atoms (fractional coordinates):
K  0.333  0.667  0.182
K  0.667  0.333  0.818
Pt  0.000  0.000  0.500

Computed properties:
energy relative to the elements = 0.0631 eV per atom
space-group type = P-3m1, No. 164
volume = 29.059 A^3/atom

2.
Material: KRb3Pt
Method: DFT, meta-GGA SCAN
State: PBEsol geometry

Lattice parameters (Å, degrees): 6.524 6.524 6.524 90.00 90.00 90.00
Atoms (fractional coordinates):
K  0.000  0.000  0.000
Rb  0.000  0.500  0.500
Rb  0.500  0.000  0.500
Rb  0.500  0.500  0.000
Pt  0.500  0.500  0.500

Computed properties:
energy relative to the elements = 0.0603 eV per atom
space-group type = Pm-3m, No. 221
volume = 55.528 A^3/atom

3.
Material: K2RbPt
Method: DFT, meta-GGA SCAN
State: PBEsol geometry

Lattice parameters (Å, degrees): 5.690 5.690 5.690 60.00 60.00 60.00
Atoms (fractional coordinates):
K  0.250  0.250  0.250
K  0.750  0.750  0.750
Rb  0.000  0.000  0.000
Pt  0.500  0.500  0.500

Computed properties:
energy relative to the elements = 0.1022 eV per atom
space-group type = Fm-3m, No. 225
volume = 32.557 A^3/atom